[1]
KPt2Pb3: optimized geometry, PBE.

Structure (POSCAR):
```
KPt2Pb3
1.0
4.088 2.360 6.258
-4.088 2.360 6.258
0.000 -4.720 6.258
K Pt Pb
2 4 6
direct
0.221 0.221 0.221
0.779 0.779 0.779
0.000 0.000 0.000
0.000 0.500 0.500
0.500 0.000 0.500
0.500 0.500 0.000
0.252 0.252 0.733
0.252 0.733 0.252
0.267 0.748 0.748
0.733 0.252 0.252
0.748 0.267 0.748
0.748 0.748 0.267
```

Crystal system   trigonal
Total energy   -50.08 eV/cell
Energy relative to the elements   -11.8 kJ per mole of atoms

[2]
KPtPb3: optimized geometry, PBE.

Structure (POSCAR):
```
KPtPb3
1.0
5.551 0.000 0.000
0.000 5.551 0.000
0.000 0.000 5.551
K Pt Pb
1 1 3
direct
0.000 0.000 0.000
0.500 0.500 0.500
0.000 0.500 0.500
0.500 0.000 0.500
0.500 0.500 0.000
```

Energy above the most stable polymorph in this dataset   276 meV/atom
Crystal system   cubic
Total energy   -17.98 eV/cell
Energy relative to the elements   5.4 kJ per mole of atoms

[3]
K2Pt3Pb4: optimized geometry, PBE.

Structure (POSCAR):
```
K2Pt3Pb4
1.0
0.000 5.344 7.377
3.005 0.000 7.377
3.005 5.344 0.000
K Pt Pb
2 3 4
direct
0.114 0.114 0.886
0.886 0.886 0.114
0.000 0.000 0.500
0.500 0.500 0.000
0.500 0.500 0.500
0.181 0.513 0.487
0.487 0.819 0.181
0.513 0.181 0.819
0.819 0.487 0.513
```

Crystal system   orthorhombic
Total energy   -37.11 eV/cell
Energy relative to the elements   -21.0 kJ per mole of atoms

[4]
KPtPb4: optimized geometry, PBE.

Structure (POSCAR):
```
KPtPb4
1.0
0.000 4.537 4.537
4.537 0.000 4.537
4.537 4.537 0.000
K Pt Pb
1 1 4
direct
0.000 0.000 0.000
0.250 0.250 0.250
0.128 0.624 0.624
0.624 0.128 0.624
0.624 0.624 0.128
0.624 0.624 0.624
```

Energy above the most stable polymorph in this dataset   484 meV/atom
Crystal system   cubic
Total energy   -20.20 eV/cell
Energy relative to the elements   28.4 kJ per mole of atoms

[5]
K3PtPb: optimized geometry, PBE.

Structure (POSCAR):
```
K3PtPb
1.0
6.105 0.000 0.000
0.000 6.105 0.000
0.000 0.000 6.105
K Pt Pb
3 1 1
direct
0.000 0.000 0.500
0.000 0.500 0.000
0.500 0.000 0.000
0.000 0.000 0.000
0.500 0.500 0.500
```

Energy above the most stable polymorph in this dataset   0 meV/atom
Crystal system   cubic
Total energy   -11.73 eV/cell
Energy relative to the elements   25.3 kJ per mole of atoms

[6]
KPtPb2: optimized geometry, PBE.

Structure (POSCAR):
```
KPtPb2
1.0
3.935 0.000 0.000
0.000 5.114 0.000
-1.867 0.000 6.558
K Pt Pb
1 1 2
direct
0.000 0.000 0.000
0.360 0.500 0.704
0.287 0.000 0.547
0.711 0.500 0.392
```

Crystal system   monoclinic
Total energy   -14.66 eV/cell
Energy relative to the elements   -2.6 kJ per mole of atoms

no.,magnetic moment (μB/atom)
1,0.0000
2,0.0000
3,0.0000
4,0.0000
5,0.0005
6,0.0000